Entry 1:
Computed, not measured: a relaxed structure of DyHfTh2P4 at the GGA-PBE level of DFT.

## Properties
formation energy from the elements	-1.466	eV/atom
total energy	-7.846	eV per atom
N(E_F)	2.68	states/eV/cell

a b c (Å): 6.891 3.995 6.930
angles (deg): 90.00 109.40 90.00
Space group P2/m (No. 10)
One atom of each set of equivalent atoms:
1 Dy 0.000 0.000 0.000 x1
2 Hf 0.000 0.500 0.500 x1
3 Th 0.500 0.000 0.500 x1
4 Th 0.500 0.500 0.000 x1
5 P 0.228 0.000 0.734 x2
6 P 0.233 0.500 0.253 x2

***

Entry 2:
Computed, not measured: a relaxed structure of Pr3Er2Tm2 at the GGA-PBE level of DFT.

## Properties
formation energy from the elements	0.043	eV/atom
total energy	-4.587	eV per atom
N(E_F)	9.30	states/eV/cell
energy above the most stable polymorph in this dataset	0	meV per atom

a b c (Å): 3.547 8.590 8.754
angles (deg): 62.31 89.97 78.10
Space group P-1 (No. 2)
One atom of each set of equivalent atoms:
1 Pr 0.000 0.000 0.000 x1
2 Pr 0.294 0.412 0.713 x2
3 Er 0.071 0.858 0.433 x2
4 Tm 0.365 0.271 0.172 x2

***

Entry 3:
Computed, not measured: a relaxed structure of AlCoPd2 at the GGA-PBE level of DFT.

## Properties
formation energy from the elements	-0.004	eV/atom
total energy	-5.313	eV per atom
N(E_F)	17.93	states/eV/cell

a b c (Å): 3.771 3.771 17.330
angles (deg): 90.00 90.00 90.00
Space group I-42d (No. 122)
One atom of each set of equivalent atoms:
1 Al 0.000 0.000 0.000 x4
2 Co 0.000 0.000 0.500 x4
3 Pd 0.248 0.250 0.625 x8